No. 1
## BaMoIr2Br (PBE)

Data for an optimized crystal structure of BaMoIr2Br.

Summary:
- Formation energy without anion corrections: 281 meV/atom
- Electronic total energy: -30.7 eV for the cell shown
- Theoretical density: 9.2 Mg/m³
- M_tot: 0.00 μB per cell

Geometry as CIF:
```
data_BaMoIr2Br
_cell_length_a 4.8129
_cell_length_b 4.8129
_cell_length_c 5.4618
_cell_angle_alpha 90.00
_cell_angle_beta 90.00
_cell_angle_gamma 90.00
_symmetry_space_group_name_H-M 'P 4/m m m'
_symmetry_Int_Tables_number 123
_symmetry_space_group_name_Hall '-P 4 2'
loop_
_atom_site_label
_atom_site_fract_x
_atom_site_fract_y
_atom_site_fract_z
Ba1 0.0000 0.0000 0.0000
Mo1 0.5000 0.5000 0.5000
Ir1 0.0000 0.5000 0.5000
Br1 0.5000 0.5000 0.0000
```

No. 2
## Ba2IrBrN (PBE)

Data for an optimized crystal structure of Ba2IrBrN.

Summary:
- Formation energy without anion corrections: -998 meV/atom
- Electronic total energy: -27.7 eV for the cell shown
- Theoretical density: 7.1 Mg/m³
- M_tot: 0.00 μB per cell

Geometry as CIF:
```
data_Ba2IrBrN
_cell_length_a 5.8648
_cell_length_b 5.8648
_cell_length_c 3.8246
_cell_angle_alpha 90.00
_cell_angle_beta 90.00
_cell_angle_gamma 90.00
_symmetry_space_group_name_H-M 'P 4/m m m'
_symmetry_Int_Tables_number 123
_symmetry_space_group_name_Hall '-P 4 2'
loop_
_atom_site_label
_atom_site_fract_x
_atom_site_fract_y
_atom_site_fract_z
Ba1 0.0000 0.5000 0.0000
Ir1 0.0000 0.0000 0.5000
Br1 0.5000 0.5000 0.5000
N1 0.0000 0.0000 0.0000
```

No. 3
## Ba6IrBr3O2 (PBE)

Data for an optimized crystal structure of Ba6IrBr3O2.

Summary:
- Formation energy without anion corrections: -1638 meV/atom
- Electronic total energy: -110.0 eV for the cell shown
- Theoretical density: 5.6 Mg/m³
- M_tot: 0.23 μB per cell

Geometry as CIF:
```
data_Ba6IrBr3O2
_cell_length_a 7.6741
_cell_length_b 12.5165
_cell_length_c 8.4419
_cell_angle_alpha 90.00
_cell_angle_beta 108.69
_cell_angle_gamma 90.00
_symmetry_space_group_name_H-M 'C 1 2/m 1'
_symmetry_Int_Tables_number 12
loop_
_symmetry_equiv_pos_as_xyz
'x,y,z'
'-x,-y,-z'
'-x,y,-z'
'x,-y,z'
'x+1/2,y+1/2,z'
'-x+1/2,-y+1/2,-z'
'-x+1/2,y+1/2,-z'
'x+1/2,-y+1/2,z'
loop_
_atom_site_label
_atom_site_fract_x
_atom_site_fract_y
_atom_site_fract_z
Ba1 0.1975 0.0000 0.1921
Ba2 0.2184 0.3216 0.1944
Ir1 0.0000 0.5000 0.0000
Br1 0.0000 0.0000 0.5000
Br2 0.0000 0.3364 0.5000
O1 0.0000 0.1652 0.0000
```

No. 4
## Ba6Ir2Br3O (PBE)

Data for an optimized crystal structure of Ba6Ir2Br3O.

Summary:
- Formation energy without anion corrections: -1285 meV/atom
- Electronic total energy: -109.3 eV for the cell shown
- Theoretical density: 6.0 Mg/m³
- M_tot: 0.00 μB per cell

Geometry as CIF:
```
data_Ba6Ir2Br3O
_cell_length_a 7.6377
_cell_length_b 13.2326
_cell_length_c 8.4805
_cell_angle_alpha 90.00
_cell_angle_beta 107.55
_cell_angle_gamma 90.00
_symmetry_space_group_name_H-M 'C 1 2/m 1'
_symmetry_Int_Tables_number 12
loop_
_symmetry_equiv_pos_as_xyz
'x,y,z'
'-x,-y,-z'
'-x,y,-z'
'x,-y,z'
'x+1/2,y+1/2,z'
'-x+1/2,-y+1/2,-z'
'-x+1/2,y+1/2,-z'
'x+1/2,-y+1/2,z'
loop_
_atom_site_label
_atom_site_fract_x
_atom_site_fract_y
_atom_site_fract_z
Ba1 0.2236 0.1567 0.1995
Ba2 0.2459 0.0000 0.8003
Ir1 0.0000 0.3338 0.0000
Br1 0.0000 0.1704 0.5000
Br2 0.0000 0.5000 0.5000
O1 0.0000 0.0000 0.0000
```

No. 5
## Ba8P3IrBr3 (PBE)

Data for an optimized crystal structure of Ba8P3IrBr3.

Summary:
- Formation energy without anion corrections: -1252 meV/atom
- Electronic total energy: -192.8 eV for the cell shown
- Theoretical density: 4.5 Mg/m³
- M_tot: 2.85 μB per cell

Geometry as CIF:
```
data_Ba8P3IrBr3
_cell_length_a 9.3499
_cell_length_b 9.3499
_cell_length_c 23.9120
_cell_angle_alpha 90.00
_cell_angle_beta 90.00
_cell_angle_gamma 120.00
_symmetry_space_group_name_H-M 'R -3 m'
_symmetry_Int_Tables_number 166
_symmetry_space_group_name_Hall '-R 3 2"'
loop_
_atom_site_label
_atom_site_fract_x
_atom_site_fract_y
_atom_site_fract_z
Ba1 0.0000 0.0000 0.2380
Ba2 0.0061 0.5030 0.2359
P1 0.0000 0.5000 0.5000
Ir1 0.0000 0.0000 0.5000
Br1 0.0000 0.5000 0.0000
```

No. 6
## Ba8P3IrBr4 (PBE)

Data for an optimized crystal structure of Ba8P3IrBr4.

Summary:
- Formation energy without anion corrections: -1408 meV/atom
- Electronic total energy: -209.1 eV for the cell shown
- Theoretical density: 4.7 Mg/m³
- M_tot: 0.00 μB per cell

Geometry as CIF:
```
data_Ba8P3IrBr4
_cell_length_a 9.3220
_cell_length_b 9.3220
_cell_length_c 24.0687
_cell_angle_alpha 90.00
_cell_angle_beta 90.00
_cell_angle_gamma 120.00
_symmetry_space_group_name_H-M 'R -3 m'
_symmetry_Int_Tables_number 166
_symmetry_space_group_name_Hall '-R 3 2"'
loop_
_atom_site_label
_atom_site_fract_x
_atom_site_fract_y
_atom_site_fract_z
Ba1 0.0000 0.0000 0.2379
Ba2 0.0062 0.5031 0.2361
P1 0.0000 0.5000 0.5000
Ir1 0.0000 0.0000 0.5000
Br1 0.0000 0.0000 0.0000
Br2 0.0000 0.5000 0.0000
```

No. 7
## Ba2IrPbBr (PBE)

Data for an optimized crystal structure of Ba2IrPbBr.

Summary:
- Formation energy without anion corrections: -696 meV/atom
- Electronic total energy: -21.6 eV for the cell shown
- Theoretical density: 6.3 Mg/m³
- M_tot: 0.00 μB per cell

Geometry as CIF:
```
data_Ba2IrPbBr
_cell_length_a 6.2263
_cell_length_b 6.2263
_cell_length_c 5.1399
_cell_angle_alpha 90.00
_cell_angle_beta 90.00
_cell_angle_gamma 90.00
_symmetry_space_group_name_H-M 'P 4/m m m'
_symmetry_Int_Tables_number 123
_symmetry_space_group_name_Hall '-P 4 2'
loop_
_atom_site_label
_atom_site_fract_x
_atom_site_fract_y
_atom_site_fract_z
Ba1 0.0000 0.5000 0.0000
Ir1 0.0000 0.0000 0.0000
Pb1 0.0000 0.0000 0.5000
Br1 0.5000 0.5000 0.5000
```

No. 8
## BaIrPbBr2 (PBE)

Data for an optimized crystal structure of BaIrPbBr2.

Summary:
- Formation energy without anion corrections: 574 meV/atom
- Electronic total energy: -15.0 eV for the cell shown
- Theoretical density: 4.0 Mg/m³
- M_tot: 3.00 μB per cell

Geometry as CIF:
```
data_BaIrPbBr2
_cell_length_a 5.9610
_cell_length_b 5.9610
_cell_length_c 8.1264
_cell_angle_alpha 90.00
_cell_angle_beta 90.00
_cell_angle_gamma 90.00
_symmetry_space_group_name_H-M 'P 4/m m m'
_symmetry_Int_Tables_number 123
_symmetry_space_group_name_Hall '-P 4 2'
loop_
_atom_site_label
_atom_site_fract_x
_atom_site_fract_y
_atom_site_fract_z
Ba1 0.0000 0.0000 0.0000
Ir1 0.5000 0.5000 0.5000
Pb1 0.0000 0.0000 0.5000
Br1 0.0000 0.5000 0.0000
```

No. 9
## Ba6IrPd2Br3 (PBE)

Data for an optimized crystal structure of Ba6IrPd2Br3.

Summary:
- Formation energy without anion corrections: -1056 meV/atom
- Electronic total energy: -97.0 eV for the cell shown
- Theoretical density: 5.4 Mg/m³
- M_tot: 0.00 μB per cell

Geometry as CIF:
```
data_Ba6IrPd2Br3
_cell_length_a 7.9573
_cell_length_b 13.7775
_cell_length_c 8.6920
_cell_angle_alpha 90.00
_cell_angle_beta 107.76
_cell_angle_gamma 90.00
_symmetry_space_group_name_H-M 'C 1 2/m 1'
_symmetry_Int_Tables_number 12
loop_
_symmetry_equiv_pos_as_xyz
'x,y,z'
'-x,-y,-z'
'-x,y,-z'
'x,-y,z'
'x+1/2,y+1/2,z'
'-x+1/2,-y+1/2,-z'
'-x+1/2,y+1/2,-z'
'x+1/2,-y+1/2,z'
loop_
_atom_site_label
_atom_site_fract_x
_atom_site_fract_y
_atom_site_fract_z
Ba1 0.2309 0.1598 0.2133
Ba2 0.2485 0.0000 0.7868
Ir1 0.0000 0.0000 0.0000
Pd1 0.0000 0.3333 0.0000
Br1 0.0000 0.1671 0.5000
Br2 0.0000 0.5000 0.5000
```

No. 10
## Ba4IrPdBr2 (PBE)

Data for an optimized crystal structure of Ba4IrPdBr2.

Summary:
- Formation energy without anion corrections: -1012 meV/atom
- Electronic total energy: -33.2 eV for the cell shown
- Theoretical density: 5.6 Mg/m³
- M_tot: 0.00 μB per cell

Geometry as CIF:
```
data_Ba4IrPdBr2
_cell_length_a 7.9365
_cell_length_b 4.5858
_cell_length_c 8.6306
_cell_angle_alpha 90.00
_cell_angle_beta 107.69
_cell_angle_gamma 90.00
_symmetry_space_group_name_H-M 'P 1 2/m 1'
_symmetry_Int_Tables_number 10
loop_
_symmetry_equiv_pos_as_xyz
'x,y,z'
'-x,-y,-z'
'-x,y,-z'
'x,-y,z'
loop_
_atom_site_label
_atom_site_fract_x
_atom_site_fract_y
_atom_site_fract_z
Ba1 0.2275 0.0000 0.2111
Ba2 0.2505 0.5000 0.7870
Ir1 0.0000 0.5000 0.0000
Pd1 0.5000 0.0000 0.0000
Br1 0.0000 0.0000 0.5000
Br2 0.5000 0.5000 0.5000
```

No. 11
## Ba8IrPd3Br4 (PBE)

Data for an optimized crystal structure of Ba8IrPd3Br4.

Summary:
- Formation energy without anion corrections: -1071 meV/atom
- Electronic total energy: -190.9 eV for the cell shown
- Theoretical density: 5.3 Mg/m³
- M_tot: 0.00 μB per cell

Geometry as CIF:
```
data_Ba8IrPd3Br4
_cell_length_a 9.1790
_cell_length_b 9.1790
_cell_length_c 24.9243
_cell_angle_alpha 90.00
_cell_angle_beta 90.00
_cell_angle_gamma 120.00
_symmetry_space_group_name_H-M 'R -3 m'
_symmetry_Int_Tables_number 166
_symmetry_space_group_name_Hall '-R 3 2"'
loop_
_atom_site_label
_atom_site_fract_x
_atom_site_fract_y
_atom_site_fract_z
Ba1 0.0000 0.0000 0.2387
Ba2 0.0105 0.5053 0.2377
Ir1 0.0000 0.0000 0.5000
Pd1 0.0000 0.5000 0.5000
Br1 0.0000 0.0000 0.0000
Br2 0.0000 0.5000 0.0000
```